Compound: AlIr3
Source: Alexandria via LeMat-Bulk
Functional: PBE
Structure: optimized geometry

The calculated total energy is -7.645 eV per atom.

The structure belongs to space group Cmmm (No. 65); the cell edges are 2.762, 4.793 and 8.875 Å and the angles 90.00°, 90.00° and 90.00°. The distinct sites, in fractional coordinates, are Al at (0.000, 0.000, 0.000), Ir at (0.000, 0.000, 0.500) and Ir at (0.000, 0.500, 0.235).

=====

Compound: CdIn4Ga4
Source: Alexandria via LeMat-Bulk
Functional: PBE
Structure: optimized geometry

The calculated total energy is -2.611 eV per atom.

The structure belongs to space group I4/mmm (No. 139); the cell edges are 9.151, 9.151 and 4.992 Å and the angles 90.00°, 90.00° and 90.00°. The distinct sites, in fractional coordinates, are Cd at (0.000, 0.000, 0.000), In at (0.170, 0.170, 0.500) and Ga at (0.000, 0.346, 0.000).

=====

Compound: LaGdSbAu
Source: Alexandria via LeMat-Bulk
Functional: PBE
Structure: optimized geometry

As for the formation energy (no corrections): -0.852 eV/atom.

The structure belongs to space group F-43m (No. 216); the cell edges are 7.606, 7.606 and 7.606 Å and the angles 90.00°, 90.00° and 90.00°. The distinct sites, in fractional coordinates, are La at (0.000, 0.000, 0.000), Gd at (0.000, 0.000, 0.500), Sb at (0.250, 0.250, 0.750) and Au at (0.250, 0.250, 0.250).